The following is a PBE-GGA calculation of crystalline Mg4Se3 at its relaxed geometry, from the Alexandria database.

Formation energy (no corrections) = -0.69 eV/atom
Distance to the lowest polymorph of the same formula = 184 meV per atom
E = -3.097 eV per atom

Structure (extended XYZ):
```
7
Lattice="-1.906 1.906 11.349 1.906 -1.906 11.349 1.906 1.906 -11.349" Properties=species:S:1:pos:R:3 pbc="T T T"
Mg 0.000 0.000 1.410
Mg 0.000 0.000 6.975
Mg 0.000 0.000 15.722
Mg 0.000 0.000 21.288
Se 0.000 0.000 4.130
Se 0.000 0.000 11.349
Se 0.000 0.000 18.567
```


The following is a PBE-GGA calculation of crystalline HoLu2Pu at its relaxed geometry, from the Alexandria database.

Calculated formation energy = 162 meV per atom
Distance to the lowest polymorph of the same formula = 73 meV per atom
E = -6.825 eV per atom

Structure (extended XYZ):
```
4
Lattice="0.000 3.888 3.888 3.888 0.000 3.888 3.888 3.888 0.000" Properties=species:S:1:pos:R:3 pbc="T T T"
Ho 0.000 0.000 0.000
Lu 1.944 1.944 1.944
Lu 5.832 5.832 5.832
Pu 3.888 3.888 3.888
```


The following is a PBE-GGA calculation of crystalline Al2BH at its relaxed geometry, from the Alexandria database.

Distance to the lowest polymorph of the same formula = 335 meV per atom
E = -3.981 eV per atom

Structure (extended XYZ):
```
8
Lattice="-2.199 2.199 5.373 2.199 -2.199 5.373 2.199 2.199 -5.373" Properties=species:S:1:pos:R:3 pbc="T T T"
Al 3.298 1.092 -1.343
Al 1.092 1.099 1.343
Al -1.099 1.107 4.030
Al 1.107 1.099 6.716
B 2.199 0.000 2.686
B 0.000 0.000 5.373
H 0.000 0.000 0.000
H 0.000 2.199 2.686
```


The following is a PBE-GGA calculation of crystalline ZrSc2Fe at its relaxed geometry, from the Alexandria database.

Calculated formation energy = 127 meV per atom
Distance to the lowest polymorph of the same formula = 235 meV per atom
E = -7.292 eV per atom

Structure (extended XYZ):
```
4
Lattice="1.587 0.916 9.203 -1.587 0.916 9.203 0.000 -1.832 9.203" Properties=species:S:1:pos:R:3 pbc="T T T"
Zr 0.000 0.000 0.000
Sc 0.000 0.000 6.469
Sc 0.000 0.000 21.139
Fe 0.000 0.000 13.804
```


The following is a PBE-GGA calculation of crystalline V3AsAu at its relaxed geometry, from the Alexandria database.

Calculated formation energy = 627 meV per atom
Distance to the lowest polymorph of the same formula = 0 meV per atom
E = -6.429 eV per atom

Structure (extended XYZ):
```
5
Lattice="4.514 0.000 0.000 0.000 4.514 0.000 0.000 0.000 4.514" Properties=species:S:1:pos:R:3 pbc="T T T"
V 0.000 0.000 2.257
V 0.000 2.257 0.000
V 2.257 0.000 0.000
As 0.000 0.000 0.000
Au 2.257 2.257 2.257
```


The following is a PBE-GGA calculation of crystalline Pr2MnAl at its relaxed geometry, from the Alexandria database.

Calculated formation energy = 488 meV per atom
Distance to the lowest polymorph of the same formula = 473 meV per atom
E = -5.130 eV per atom

Structure (extended XYZ):
```
4
Lattice="1.686 0.973 11.051 -1.686 0.973 11.051 0.000 -1.946 11.051" Properties=species:S:1:pos:R:3 pbc="T T T"
Pr 0.000 0.000 2.983
Pr 0.000 0.000 30.171
Mn 0.000 0.000 0.000
Al 0.000 0.000 16.577
```


The following is a PBE-GGA calculation of crystalline Rb2URuO6 at its relaxed geometry, from the Alexandria database.

Formation energy (no corrections) = -2.00 eV/atom
E = -7.226 eV per atom

Structure (extended XYZ):
```
10
Lattice="-2.939 2.939 4.694 2.939 -2.939 4.694 2.939 2.939 -4.694" Properties=species:S:1:pos:R:3 pbc="T T T"
Rb 2.939 0.000 2.347
Rb 0.000 2.939 2.347
U 0.000 0.000 0.000
Ru 0.000 0.000 4.694
O 0.000 0.000 1.932
O 1.558 1.558 0.000
O 1.381 -1.381 4.694
O -1.381 1.381 4.694
O 1.381 1.381 4.694
O 0.000 0.000 7.456
```


The following is a PBE-GGA calculation of crystalline SrSc2Cd2 at its relaxed geometry, from the Alexandria database.

Calculated formation energy = -76 meV per atom
Distance to the lowest polymorph of the same formula = 55 meV per atom
E = -3.311 eV per atom

Structure (extended XYZ):
```
5
Lattice="-2.261 2.261 7.044 2.261 -2.261 7.044 2.261 2.261 -7.044" Properties=species:S:1:pos:R:3 pbc="T T T"
Sr 0.000 0.000 0.000
Sc 2.261 0.000 3.522
Sc 0.000 2.261 3.522
Cd 0.000 0.000 5.575
Cd 0.000 0.000 8.514
```